Entry 1:
# Hf3MnPd12

Crystalline Hf3MnPd12 at its relaxed geometry (PBE-GGA, the Alexandria database).

```
Hf3MnPd12
1.0
-3.314 -0.882 2.058
2.208 -0.681 3.265
-1.470 15.274 4.180
Hf Mn Pd
3 1 12
Cartesian
-0.358 3.721 1.018
-0.735 7.637 2.090
-1.112 11.553 3.161
0.000 0.000 0.000
-0.553 -0.781 2.661
-0.920 3.030 3.704
-1.288 6.856 4.751
-1.656 10.682 5.798
-1.839 1.449 1.546
-2.208 5.281 2.595
-2.576 9.111 3.643
-2.945 12.943 4.691
0.922 1.550 2.150
0.553 5.382 3.198
0.185 9.211 4.246
-0.184 13.043 5.295
```

## Properties
- DFT formation energy: -0.731 eV/atom
- VASP energy: -7.065 eV/atom
- Spin magnetization: 4.29 μB/cell

Entry 2:
# HfMn2Pd8

Crystalline HfMn2Pd8 at its relaxed geometry (PBE-GGA, the Alexandria database).

```
HfMn2Pd8
1.0
-2.217 -2.961 -1.598
3.885 -4.266 2.515
-3.945 2.683 5.581
Hf Mn Pd
1 2 8
Cartesian
-1.108 -1.480 -0.799
-2.538 -2.307 2.717
0.261 -2.236 3.782
-1.961 -1.345 5.213
0.625 -4.956 3.236
-1.597 -4.060 4.659
-4.660 -1.546 4.250
-0.680 -0.483 1.840
-2.902 0.412 3.262
-0.316 -3.198 1.286
2.383 -2.998 2.249
```

## Properties
- DFT formation energy: -0.430 eV/atom
- VASP energy: -6.778 eV/atom
- Spin magnetization: 8.78 μB/cell
- Energy relative to the lowest polymorph listed for this composition: 0 meV/atom